BaNa2Se2: optimized geometry, PBEsol.

Summary:
- formation energy from raw total energies (eV per atom) = -1.320
- DOS(E_F) (states/eV per atom) = 0.000

The structure in CIF format:
```
data_BaNa2Se2
_chemical_formula_sum 'Ba2 Na4 Se4'
_cell_length_a 4.299
_cell_length_b 4.299
_cell_length_c 14.662
_cell_angle_alpha 90.00
_cell_angle_beta 90.00
_cell_angle_gamma 90.00
_symmetry_space_group_name_H-M 'I 4/m m m'
_symmetry_Int_Tables_number 139
_symmetry_space_group_name_Hall '-I 4 2'
loop_
_atom_site_label
_atom_site_type_symbol
_atom_site_fract_x
_atom_site_fract_y
_atom_site_fract_z
_atom_site_occupancy
Ba1 Ba 0.000 0.000 0.000 1
Na1 Na 0.000 0.500 0.250 1
Se1 Se 0.000 0.000 0.379 1
```

LiSi2TcRh: optimized geometry, PBEsol.

Summary:
- formation energy from raw total energies (eV per atom) = 0.716
- DOS(E_F) (states/eV per atom) = 0.548

The structure in CIF format:
```
data_LiSi2TcRh
_chemical_formula_sum 'Li1 Si2 Tc1 Rh1'
_cell_length_a 4.172
_cell_length_b 4.172
_cell_length_c 3.725
_cell_angle_alpha 90.00
_cell_angle_beta 90.00
_cell_angle_gamma 90.00
_symmetry_space_group_name_H-M 'P 4/m m m'
_symmetry_Int_Tables_number 123
_symmetry_space_group_name_Hall '-P 4 2'
loop_
_atom_site_label
_atom_site_type_symbol
_atom_site_fract_x
_atom_site_fract_y
_atom_site_fract_z
_atom_site_occupancy
Li1 Li 0.000 0.000 0.000 1
Si1 Si 0.000 0.500 0.000 1
Tc1 Tc 0.500 0.500 0.500 1
Rh1 Rh 0.000 0.000 0.500 1
```

FeP2Br: optimized geometry, PBEsol.

Summary:
- excess energy over the best structure of this formula in the dataset (meV per atom) = 614.7
- formation energy from raw total energies (eV per atom) = 0.622
- DOS(E_F) (states/eV per atom) = 1.245

The structure in CIF format:
```
data_FeP2Br
_chemical_formula_sum 'Fe1 P2 Br1'
_cell_length_a 3.394
_cell_length_b 3.394
_cell_length_c 6.311
_cell_angle_alpha 90.00
_cell_angle_beta 90.00
_cell_angle_gamma 90.00
_symmetry_space_group_name_H-M 'P 4/m m m'
_symmetry_Int_Tables_number 123
_symmetry_space_group_name_Hall '-P 4 2'
loop_
_atom_site_label
_atom_site_type_symbol
_atom_site_fract_x
_atom_site_fract_y
_atom_site_fract_z
_atom_site_occupancy
Fe1 Fe 0.000 0.000 0.000 1
P1 P 0.000 0.500 0.500 1
Br1 Br 0.500 0.500 0.000 1
```

BaCuAs2: optimized geometry, PBEsol.

Summary:
- ΔE_f (kcal/mol of atoms) = 1.3
- DOS(E_F) (states/eV per atom) = 0.652

The structure in CIF format:
```
data_BaCuAs2
_chemical_formula_sum 'Ba2 Cu2 As4'
_cell_length_a 4.597
_cell_length_b 4.597
_cell_length_c 8.527
_cell_angle_alpha 90.00
_cell_angle_beta 90.00
_cell_angle_gamma 90.00
_symmetry_space_group_name_H-M 'I -4 m 2'
_symmetry_Int_Tables_number 119
_symmetry_space_group_name_Hall 'I -4 -2'
loop_
_atom_site_label
_atom_site_type_symbol
_atom_site_fract_x
_atom_site_fract_y
_atom_site_fract_z
_atom_site_occupancy
Ba1 Ba 0.000 0.000 0.000 1
Cu1 Cu 0.000 0.500 0.250 1
As1 As 0.000 0.000 0.500 1
As2 As 0.000 0.500 0.750 1
```

Na3HAu: optimized geometry, PBEsol.

Summary:
- final energy (eV per atom) = -2.3802
- DOS(E_F) (states/eV per atom) = 0.449

The structure in CIF format:
```
data_Na3HAu
_chemical_formula_sum 'Na3 H1 Au1'
_cell_length_a 4.568
_cell_length_b 4.568
_cell_length_c 4.568
_cell_angle_alpha 90.00
_cell_angle_beta 90.00
_cell_angle_gamma 90.00
_symmetry_space_group_name_H-M 'P m -3 m'
_symmetry_Int_Tables_number 221
_symmetry_space_group_name_Hall '-P 4 2 3'
loop_
_atom_site_label
_atom_site_type_symbol
_atom_site_fract_x
_atom_site_fract_y
_atom_site_fract_z
_atom_site_occupancy
Na1 Na 0.000 0.000 0.500 1
H1 H 0.000 0.000 0.000 1
Au1 Au 0.500 0.500 0.500 1
```

Be2TcAs: optimized geometry, PBEsol.

Summary:
- ΔE_f (kcal/mol of atoms) = -1.8
- DOS(E_F) (states/eV per atom) = 0.253

The structure in CIF format:
```
data_Be2TcAs
_chemical_formula_sum 'Be2 Tc1 As1'
_cell_length_a 3.088
_cell_length_b 3.088
_cell_length_c 4.858
_cell_angle_alpha 90.00
_cell_angle_beta 90.00
_cell_angle_gamma 90.00
_symmetry_space_group_name_H-M 'P 4 m m'
_symmetry_Int_Tables_number 99
_symmetry_space_group_name_Hall 'P 4 -2'
loop_
_atom_site_label
_atom_site_type_symbol
_atom_site_fract_x
_atom_site_fract_y
_atom_site_fract_z
_atom_site_occupancy
Be1 Be 0.000 0.000 0.000 1
Be2 Be 0.500 0.500 0.211 1
Tc1 Tc 0.000 0.000 0.478 1
As1 As 0.500 0.500 0.737 1
```

Ti4NiBi2: optimized geometry, PBEsol.

Summary:
- ΔE_f (kcal/mol of atoms) = -7.5
- DOS(E_F) (states/eV per atom) = 0.914

The structure in CIF format:
```
data_Ti4NiBi2
_chemical_formula_sum 'Ti16 Ni4 Bi8'
_cell_length_a 10.516
_cell_length_b 10.516
_cell_length_c 4.743
_cell_angle_alpha 90.00
_cell_angle_beta 90.00
_cell_angle_gamma 90.00
_symmetry_space_group_name_H-M 'I 4/m c m'
_symmetry_Int_Tables_number 140
_symmetry_space_group_name_Hall '-I 4 2c'
loop_
_atom_site_label
_atom_site_type_symbol
_atom_site_fract_x
_atom_site_fract_y
_atom_site_fract_z
_atom_site_occupancy
Ti1 Ti 0.081 0.197 0.000 1
Ni1 Ni 0.000 0.000 0.250 1
Bi1 Bi 0.140 0.360 0.500 1
```

TeRhPbN2: optimized geometry, PBEsol.

Summary:
- formation energy from raw total energies (eV per atom) = 1.977
- DOS(E_F) (states/eV per atom) = 0.790

The structure in CIF format:
```
data_TeRhPbN2
_chemical_formula_sum 'Te1 Rh1 Pb1 N2'
_cell_length_a 4.149
_cell_length_b 4.149
_cell_length_c 6.194
_cell_angle_alpha 90.00
_cell_angle_beta 90.00
_cell_angle_gamma 90.00
_symmetry_space_group_name_H-M 'P 4/m m m'
_symmetry_Int_Tables_number 123
_symmetry_space_group_name_Hall '-P 4 2'
loop_
_atom_site_label
_atom_site_type_symbol
_atom_site_fract_x
_atom_site_fract_y
_atom_site_fract_z
_atom_site_occupancy
Te1 Te 0.000 0.000 0.000 1
Rh1 Rh 0.500 0.500 0.000 1
Pb1 Pb 0.000 0.000 0.500 1
N1 N 0.000 0.500 0.500 1
```

MnCu: optimized geometry, PBEsol.

Summary:
- ΔE_f (kcal/mol of atoms) = 4.7
- DOS(E_F) (states/eV per atom) = 1.048

The structure in CIF format:
```
data_MnCu
_chemical_formula_sum 'Mn4 Cu4'
_cell_length_a 2.647
_cell_length_b 3.991
_cell_length_c 8.242
_cell_angle_alpha 90.00
_cell_angle_beta 90.00
_cell_angle_gamma 90.00
_symmetry_space_group_name_H-M 'C m m e'
_symmetry_Int_Tables_number 67
_symmetry_space_group_name_Hall '-C 2a 2'
loop_
_atom_site_label
_atom_site_type_symbol
_atom_site_fract_x
_atom_site_fract_y
_atom_site_fract_z
_atom_site_occupancy
Mn1 Mn 0.000 0.250 0.114 1
Cu1 Cu 0.000 0.250 0.627 1
```

NdTaO4: optimized geometry, PBEsol.

Summary:
- formation energy from raw total energies (eV per atom) = -3.222
- DOS(E_F) (states/eV per atom) = 0.000

The structure in CIF format:
```
data_NdTaO4
_chemical_formula_sum 'Nd4 Ta4 O16'
_cell_length_a 7.570
_cell_length_b 5.450
_cell_length_c 7.691
_cell_angle_alpha 90.00
_cell_angle_beta 99.64
_cell_angle_gamma 90.00
_symmetry_space_group_name_H-M 'P 1 21/c 1'
_symmetry_Int_Tables_number 14
_symmetry_space_group_name_Hall '-P 2ybc'
loop_
_atom_site_label
_atom_site_type_symbol
_atom_site_fract_x
_atom_site_fract_y
_atom_site_fract_z
_atom_site_occupancy
Nd1 Nd 0.151 0.223 0.398 1
Ta1 Ta 0.335 0.730 0.195 1
O1 O 0.116 0.511 0.168 1
O2 O 0.166 0.510 0.629 1
O3 O 0.334 0.647 0.943 1
O4 O 0.439 0.093 0.802 1
```

Ca2MgTl2: optimized geometry, PBEsol.

Summary:
- ΔE_f (kcal/mol of atoms) = -7.9
- DOS(E_F) (states/eV per atom) = 0.573

The structure in CIF format:
```
data_Ca2MgTl2
_chemical_formula_sum 'Ca4 Mg2 Tl4'
_cell_length_a 8.303
_cell_length_b 8.303
_cell_length_c 4.106
_cell_angle_alpha 90.00
_cell_angle_beta 90.00
_cell_angle_gamma 90.00
_symmetry_space_group_name_H-M 'P 4/m b m'
_symmetry_Int_Tables_number 127
_symmetry_space_group_name_Hall '-P 4 2ab'
loop_
_atom_site_label
_atom_site_type_symbol
_atom_site_fract_x
_atom_site_fract_y
_atom_site_fract_z
_atom_site_occupancy
Ca1 Ca 0.166 0.334 0.000 1
Mg1 Mg 0.000 0.000 0.500 1
Tl1 Tl 0.135 0.635 0.500 1
```

LiRePb: optimized geometry, PBEsol.

Summary:
- ΔE_f (kcal/mol of atoms) = 17.5
- excess energy over the best structure of this formula in the dataset (meV per atom) = 76.3
- DOS(E_F) (states/eV per atom) = 0.868

The structure in CIF format:
```
data_LiRePb
_chemical_formula_sum 'Li2 Re2 Pb2'
_cell_length_a 2.873
_cell_length_b 2.873
_cell_length_c 13.699
_cell_angle_alpha 90.00
_cell_angle_beta 90.00
_cell_angle_gamma 90.00
_symmetry_space_group_name_H-M 'I 4 m m'
_symmetry_Int_Tables_number 107
_symmetry_space_group_name_Hall 'I 4 -2'
loop_
_atom_site_label
_atom_site_type_symbol
_atom_site_fract_x
_atom_site_fract_y
_atom_site_fract_z
_atom_site_occupancy
Li1 Li 0.000 0.000 0.000 1
Re1 Re 0.000 0.000 0.360 1
Pb1 Pb 0.000 0.000 0.697 1
```

Zr4Al11Si: optimized geometry, PBEsol.

Summary:
- formation energy from raw total energies (eV per atom) = -0.493
- DOS(E_F) (states/eV per atom) = 0.301

The structure in CIF format:
```
data_Zr4Al11Si
_chemical_formula_sum 'Zr4 Al11 Si1'
_cell_length_a 3.950
_cell_length_b 3.994
_cell_length_c 17.059
_cell_angle_alpha 90.00
_cell_angle_beta 90.00
_cell_angle_gamma 90.00
_symmetry_space_group_name_H-M 'P m m m'
_symmetry_Int_Tables_number 47
_symmetry_space_group_name_Hall '-P 2 2'
loop_
_atom_site_label
_atom_site_type_symbol
_atom_site_fract_x
_atom_site_fract_y
_atom_site_fract_z
_atom_site_occupancy
Zr1 Zr 0.000 0.000 0.114 1
Zr2 Zr 0.500 0.500 0.379 1
Al1 Al 0.000 0.000 0.375 1
Al2 Al 0.000 0.500 0.000 1
Al3 Al 0.000 0.500 0.249 1
Al4 Al 0.000 0.500 0.500 1
Al5 Al 0.500 0.000 0.249 1
Al6 Al 0.500 0.000 0.500 1
Al7 Al 0.500 0.500 0.127 1
Si1 Si 0.500 0.000 0.000 1
```

TmCuSi: optimized geometry, PBEsol.

Summary:
- formation energy from raw total energies (eV per atom) = -0.711
- DOS(E_F) (states/eV per atom) = 0.170

The structure in CIF format:
```
data_TmCuSi
_chemical_formula_sum 'Tm2 Cu2 Si2'
_cell_length_a 4.1122
_cell_length_b 4.1122
_cell_length_c 6.9761
_cell_angle_alpha 90.00
_cell_angle_beta 90.00
_cell_angle_gamma 120.00
_symmetry_space_group_name_H-M 'P 63 m c'
_symmetry_Int_Tables_number 186
_symmetry_space_group_name_Hall 'P 6c -2c'
loop_
_atom_site_label
_atom_site_type_symbol
_atom_site_fract_x
_atom_site_fract_y
_atom_site_fract_z
_atom_site_occupancy
Tm1 Tm 0.0000 0.0000 0.0000 1
Cu1 Cu 0.3333 0.6667 0.2808 1
Si1 Si 0.3333 0.6667 0.7298 1
```

ZrAgP2: optimized geometry, PBEsol.

Summary:
- ΔE_f (kcal/mol of atoms) = -9.0
- excess energy over the best structure of this formula in the dataset (meV per atom) = 145.5
- DOS(E_F) (states/eV per atom) = 0.835

The structure in CIF format:
```
data_ZrAgP2
_chemical_formula_sum 'Zr1 Ag1 P2'
_cell_length_a 3.391
_cell_length_b 3.391
_cell_length_c 5.902
_cell_angle_alpha 90.00
_cell_angle_beta 90.00
_cell_angle_gamma 90.00
_symmetry_space_group_name_H-M 'P 4/m m m'
_symmetry_Int_Tables_number 123
_symmetry_space_group_name_Hall '-P 4 2'
loop_
_atom_site_label
_atom_site_type_symbol
_atom_site_fract_x
_atom_site_fract_y
_atom_site_fract_z
_atom_site_occupancy
Zr1 Zr 0.000 0.000 0.000 1
Ag1 Ag 0.000 0.000 0.500 1
P1 P 0.500 0.500 0.212 1
```

AlGeBr3: optimized geometry, PBEsol.

Summary:
- formation energy from raw total energies (eV per atom) = -0.247
- DOS(E_F) (states/eV per atom) = 0.005

The structure in CIF format:
```
data_AlGeBr3
_chemical_formula_sum 'Al1 Ge1 Br3'
_cell_length_a 5.333
_cell_length_b 5.333
_cell_length_c 5.333
_cell_angle_alpha 90.00
_cell_angle_beta 90.00
_cell_angle_gamma 90.00
_symmetry_space_group_name_H-M 'P m -3 m'
_symmetry_Int_Tables_number 221
_symmetry_space_group_name_Hall '-P 4 2 3'
loop_
_atom_site_label
_atom_site_type_symbol
_atom_site_fract_x
_atom_site_fract_y
_atom_site_fract_z
_atom_site_occupancy
Al1 Al 0.000 0.000 0.000 1
Ge1 Ge 0.500 0.500 0.500 1
Br1 Br 0.000 0.500 0.500 1
```

NbCoAs: optimized geometry, PBEsol.

Summary:
- ΔE_f (kcal/mol of atoms) = -13.8
- DOS(E_F) (states/eV per atom) = 0.808

The structure in CIF format:
```
data_NbCoAs
_chemical_formula_sum 'Nb4 Co4 As4'
_cell_length_a 6.238
_cell_length_b 3.724
_cell_length_c 7.076
_cell_angle_alpha 90.00
_cell_angle_beta 90.00
_cell_angle_gamma 90.00
_symmetry_space_group_name_H-M 'P n m a'
_symmetry_Int_Tables_number 62
_symmetry_space_group_name_Hall '-P 2ac 2n'
loop_
_atom_site_label
_atom_site_type_symbol
_atom_site_fract_x
_atom_site_fract_y
_atom_site_fract_z
_atom_site_occupancy
Nb1 Nb 0.024 0.250 0.173 1
Co1 Co 0.150 0.250 0.563 1
As1 As 0.221 0.750 0.379 1
```

Cd2TeOs: optimized geometry, PBEsol.

Summary:
- formation energy from raw total energies (eV per atom) = 0.652
- DOS(E_F) (states/eV per atom) = 1.181

The structure in CIF format:
```
data_Cd2TeOs
_chemical_formula_sum 'Cd4 Te2 Os2'
_cell_length_a 5.640
_cell_length_b 10.338
_cell_length_c 3.275
_cell_angle_alpha 90.00
_cell_angle_beta 124.85
_cell_angle_gamma 90.00
_symmetry_space_group_name_H-M 'C 1 2/m 1'
_symmetry_Int_Tables_number 12
_symmetry_space_group_name_Hall '-C 2y'
loop_
_atom_site_label
_atom_site_type_symbol
_atom_site_fract_x
_atom_site_fract_y
_atom_site_fract_z
_atom_site_occupancy
Cd1 Cd 0.250 0.250 0.000 1
Te1 Te 0.000 0.000 0.000 1
Os1 Os 0.000 0.500 0.000 1
```

Ca2MgAu: optimized geometry, PBEsol.

Summary:
- ΔE_f (kcal/mol of atoms) = -8.5
- DOS(E_F) (states/eV per atom) = 0.808

The structure in CIF format:
```
data_Ca2MgAu
_chemical_formula_sum 'Ca2 Mg1 Au1'
_cell_length_a 5.101
_cell_length_b 5.101
_cell_length_c 3.897
_cell_angle_alpha 90.00
_cell_angle_beta 90.00
_cell_angle_gamma 90.00
_symmetry_space_group_name_H-M 'P 4/m m m'
_symmetry_Int_Tables_number 123
_symmetry_space_group_name_Hall '-P 4 2'
loop_
_atom_site_label
_atom_site_type_symbol
_atom_site_fract_x
_atom_site_fract_y
_atom_site_fract_z
_atom_site_occupancy
Ca1 Ca 0.000 0.500 0.000 1
Mg1 Mg 0.000 0.000 0.500 1
Au1 Au 0.500 0.500 0.500 1
```

CaCr2Se: optimized geometry, PBEsol.

Summary:
- formation energy from raw total energies (eV per atom) = 0.300
- DOS(E_F) (states/eV per atom) = 0.515

The structure in CIF format:
```
data_CaCr2Se
_chemical_formula_sum 'Ca4 Cr8 Se4'
_cell_length_a 6.728
_cell_length_b 6.728
_cell_length_c 6.728
_cell_angle_alpha 90.00
_cell_angle_beta 90.00
_cell_angle_gamma 90.00
_symmetry_space_group_name_H-M 'F -4 3 m'
_symmetry_Int_Tables_number 216
_symmetry_space_group_name_Hall 'F -4 2 3'
loop_
_atom_site_label
_atom_site_type_symbol
_atom_site_fract_x
_atom_site_fract_y
_atom_site_fract_z
_atom_site_occupancy
Ca1 Ca 0.000 0.000 0.000 1
Cr1 Cr 0.000 0.000 0.500 1
Cr2 Cr 0.250 0.250 0.750 1
Se1 Se 0.250 0.250 0.250 1
```